[1]
# Ta2Tl3H3S8

A geometry-optimized Ta2Tl3H3S8 structure (PBE, the Open Quantum Materials Database).

Lattice parameters (Å, degrees): 18.6514 5.7175 7.5309 90.00 92.06 90.00
Space group C2 (No. 5)
Symmetry-distinct sites (fractional):
Ta1 0.1307 0.0000 0.1876
Tl1 0.0000 0.7048 0.5000
Tl2 0.1535 0.1939 0.6767
H1 0.0000 0.7995 0.0000
H2 0.1819 0.4618 0.1631
S1 0.0393 0.1980 0.2921
S2 0.0854 0.7811 0.9534
S3 0.1740 0.7641 0.4101
S4 0.2202 0.2748 0.1023

Output
Uncorrected energy in eV/cell: -163.8
Crystal system: monoclinic


[2]
# K2LiPdCl6

A geometry-optimized K2LiPdCl6 structure (PBE, the Open Quantum Materials Database).

Lattice parameters (Å, degrees): 6.8644 6.8644 10.2422 90.00 90.00 90.00
Space group I4/m (No. 87)
Symmetry-distinct sites (fractional):
K1 0.0000 0.5000 0.2500
Li1 0.0000 0.0000 0.0000
Pd1 0.0000 0.0000 0.5000
Cl1 0.0000 0.0000 0.2486
Cl2 0.1918 0.7125 0.5000

Output
Uncorrected energy in eV/cell: -66.4
Crystal system: tetragonal


[3]
# GdSnSb

A geometry-optimized GdSnSb structure (PBE, the Open Quantum Materials Database).

Lattice parameters (Å, degrees): 7.3274 7.3274 7.3274 90.00 90.00 90.00
Space group F-43m (No. 216)
Symmetry-distinct sites (fractional):
Gd1 0.0000 0.0000 0.0000
Sn1 0.0000 0.0000 0.5000
Sb1 0.2500 0.2500 0.7500

Output
Offset from the most stable computed form in eV per formula unit: 0.04
Crystal system: cubic


[4]
# K2ZnP4H8O16

A geometry-optimized K2ZnP4H8O16 structure (PBE, the Open Quantum Materials Database).

Lattice parameters (Å, degrees): 6.7349 7.2392 7.4361 80.12 72.19 83.12
Space group P-1 (No. 2)
Symmetry-distinct sites (fractional):
K1 0.1035 0.2358 0.3034
Zn1 0.5000 0.0000 0.5000
P1 0.2457 0.3130 0.7654
P2 0.3165 0.7756 0.2432
H1 0.0615 0.7747 0.0622
H2 0.2470 0.5423 0.4719
H3 0.3717 0.8249 0.8604
H4 0.3862 0.6807 0.7145
O1 0.0578 0.2994 0.9514
O2 0.2267 0.5789 0.3338
O3 0.2299 0.8624 0.0795
O4 0.2456 0.1704 0.6393
O5 0.2637 0.5151 0.6638
O6 0.2838 0.8951 0.3992
O7 0.4372 0.2644 0.8597
O8 0.4561 0.7863 0.7348

Output
Uncorrected energy in eV/cell: -185.4
Crystal system: triclinic